Model a:
# Ac2Ge2Pb

Crystalline Ac2Ge2Pb at its relaxed geometry (PBE, the Alexandria database).

Structure (extended XYZ):
```
5
Lattice="2.1215 -7.7805 0.0000 2.1215 7.7805 0.0000 0.0000 0.0000 4.5750" Properties=species:S:1:pos:R:3 pbc="T T T"
Ac 2.1215 5.6999 0.0000
Ac 2.1215 -5.6999 0.0000
Ge 2.1215 3.1224 2.2875
Ge 2.1215 -3.1224 2.2875
Pb 2.1215 0.0000 2.2875
```

Model b:
# Ac2Ge2Pb

Crystalline Ac2Ge2Pb at its relaxed geometry (PBE, the Alexandria database).

Structure (extended XYZ):
```
10
Lattice="8.0857 0.0000 0.0000 0.0000 8.0857 0.0000 0.0000 0.0000 4.6096" Properties=species:S:1:pos:R:3 pbc="T T T"
Ac 1.4553 2.5875 0.0000
Ac 2.5875 6.6304 0.0000
Ac 5.4982 1.4553 0.0000
Ac 6.6304 5.4982 0.0000
Ge 0.9166 4.9594 2.3048
Ge 3.1263 0.9166 2.3048
Ge 4.9594 7.1691 2.3048
Ge 7.1691 3.1263 2.3048
Pb 0.0000 0.0000 2.3048
Pb 4.0428 4.0428 2.3048
```

Going by the energies, model b is most stable and the next is 31 meV per atom up.

Model a:
# Ac4Ge2Pd

Crystalline Ac4Ge2Pd at its relaxed geometry (PBE, the Alexandria database).

Structure (extended XYZ):
```
7
Lattice="-2.7629 2.7629 8.4650 2.7629 -2.7629 8.4650 2.7629 2.7629 -8.4650" Properties=species:S:1:pos:R:3 pbc="T T T"
Ac 2.7629 0.0000 0.0000
Ac 0.0000 0.0000 3.1923
Ac 0.0000 2.7629 0.0000
Ac 0.0000 0.0000 13.7377
Ge 0.0000 0.0000 6.3028
Ge 0.0000 0.0000 10.6272
Pd 0.0000 0.0000 0.0000
```

Model b:
# Ac4Ge2Pd

Crystalline Ac4Ge2Pd at its relaxed geometry (PBE, the Alexandria database).

Structure (extended XYZ):
```
14
Lattice="-4.7782 4.7796 4.9873 4.7782 -4.7796 4.9873 4.7782 4.7796 -4.9873" Properties=species:S:1:pos:R:3 pbc="T T T"
Ac 6.6053 -1.7585 1.8803
Ac 0.6295 0.5615 0.6153
Ac 0.6295 -0.5615 4.3720
Ac 1.8272 6.5381 -1.8803
Ac 4.1487 -0.5615 5.6026
Ac 2.9510 3.0211 3.1070
Ac 2.9510 6.5381 1.8803
Ac -0.6295 5.3411 4.3720
Ge 7.1673 1.3038 0.0000
Ge 3.6899 0.0000 2.4936
Ge 2.3891 3.4758 0.0000
Ge 1.0883 0.0000 7.4809
Pd 0.0000 2.3898 3.7347
Pd 0.0000 7.1694 1.2526
```

Going by the energies, model b is most stable and the next is 297 meV per atom up.

Model a:
# AcGePd4

Crystalline AcGePd4 at its relaxed geometry (PBE, the Alexandria database).

Structure (extended XYZ):
```
6
Lattice="0.0000 3.8796 3.8796 3.8796 0.0000 3.8796 3.8796 3.8796 0.0000" Properties=species:S:1:pos:R:3 pbc="T T T"
Ac 0.0000 0.0000 0.0000
Ge 1.9398 1.9398 1.9398
Pd 4.8421 2.9171 2.9171
Pd 2.9171 4.8421 2.9171
Pd 2.9171 2.9171 4.8421
Pd 4.8421 4.8421 4.8421
```

Model b:
# AcGePd4

Crystalline AcGePd4 at its relaxed geometry (PBE, the Alexandria database).

Structure (extended XYZ):
```
12
Lattice="7.8513 0.0000 0.0000 0.0000 4.0634 0.0000 0.0000 0.0000 7.2675" Properties=species:S:1:pos:R:3 pbc="T T T"
Ac 1.9628 0.0000 1.0182
Ac 5.8885 0.0000 6.2493
Ge 1.9628 0.0000 5.1211
Ge 5.8885 0.0000 2.1464
Pd 0.0000 0.0000 3.6337
Pd 0.4600 2.0317 5.8195
Pd 1.9628 2.0317 3.3526
Pd 3.4657 2.0317 5.8195
Pd 3.9257 0.0000 3.6337
Pd 4.3856 2.0317 1.4480
Pd 5.8885 2.0317 3.9149
Pd 7.3914 2.0317 1.4480
```

Going by the energies, model b is most stable and the next is 172 meV per atom up.

Model a:
# AcGe2Pd4

Crystalline AcGe2Pd4 at its relaxed geometry (PBE, the Alexandria database).

Structure (extended XYZ):
```
14
Lattice="8.0818 0.0000 0.0000 0.0000 8.0818 0.0000 0.0000 0.0000 4.0028" Properties=species:S:1:pos:R:3 pbc="T T T"
Ac 0.0000 0.0000 0.0000
Ac 4.0409 4.0409 2.0014
Ge 1.7893 1.7893 2.0014
Ge 2.2516 5.8302 0.0000
Ge 5.8302 2.2516 0.0000
Ge 6.2925 6.2925 2.0014
Pd 0.7024 5.3510 2.0014
Pd 1.3101 3.3385 0.0000
Pd 2.7308 7.3794 2.0014
Pd 3.3385 1.3101 0.0000
Pd 4.7433 6.7717 0.0000
Pd 5.3510 0.7024 2.0014
Pd 6.7717 4.7433 0.0000
Pd 7.3794 2.7308 2.0014
```

Model b:
# AcGe2Pd4

Crystalline AcGe2Pd4 at its relaxed geometry (PBE, the Alexandria database).

Structure (extended XYZ):
```
28
Lattice="18.2774 0.0000 0.0000 0.0000 4.2831 0.0000 0.0000 0.0000 6.9079" Properties=species:S:1:pos:R:3 pbc="T T T"
Ac 2.5347 1.0708 0.0088
Ac 6.6040 3.2124 3.4627
Ac 11.6734 1.0708 3.4452
Ac 15.7427 3.2124 6.8991
Ge 0.7541 3.2124 1.9022
Ge 3.8009 1.0708 3.7805
Ge 5.3378 3.2124 0.3266
Ge 8.3846 1.0708 5.3562
Ge 9.8928 3.2124 1.5517
Ge 12.9396 1.0708 6.5813
Ge 14.4765 3.2124 3.1274
Ge 17.5233 1.0708 5.0057
Pd 0.3688 3.2124 5.9320
Pd 1.2305 1.0708 3.4322
Pd 3.2808 3.2124 2.3686
Pd 3.9892 3.2124 5.1145
Pd 5.1495 1.0708 1.6605
Pd 5.8579 1.0708 5.8225
Pd 7.9082 3.2124 6.8862
Pd 8.7699 1.0708 2.4781
Pd 9.5075 3.2124 4.4298
Pd 10.3692 1.0708 0.0217
Pd 12.4195 3.2124 1.0854
Pd 13.1279 3.2124 5.2474
Pd 14.2882 1.0708 1.7934
Pd 14.9965 1.0708 4.5393
Pd 17.0469 3.2124 3.4757
Pd 17.9086 1.0708 0.9759
```

Going by the energies, model a is most stable and the next is 51 meV per atom up.

Model a:
# AcGe3Pd3

Crystalline AcGe3Pd3 at its relaxed geometry (PBE, the Alexandria database).

Structure (extended XYZ):
```
14
Lattice="9.2282 0.0000 0.0000 -4.6141 7.9918 0.0000 0.0000 0.0000 4.6269" Properties=species:S:1:pos:R:3 pbc="T T T"
Ac 0.0000 5.3279 1.1567
Ac 4.6141 2.6639 3.4702
Ge -1.3504 3.1211 3.4702
Ge -1.2359 7.6008 3.4702
Ge 2.0278 2.7301 1.1567
Ge 2.5863 5.2618 3.4702
Ge 5.8500 0.3910 1.1567
Ge 5.9645 4.8707 1.1567
Pd -2.4796 5.4629 3.4702
Pd 1.1229 3.1130 3.4702
Pd 3.2574 0.5840 1.1567
Pd 1.3567 7.4078 3.4702
Pd 3.4912 4.8789 1.1567
Pd 7.0937 2.5290 1.1567
```

Model b:
# AcGe3Pd3

Crystalline AcGe3Pd3 at its relaxed geometry (PBE, the Alexandria database).

Structure (extended XYZ):
```
14
Lattice="6.8515 0.0000 0.0000 0.0000 6.8515 0.0000 0.0000 0.0000 6.8515" Properties=species:S:1:pos:R:3 pbc="T T T"
Ac 0.0000 0.0000 0.0000
Ac 3.4257 3.4257 3.4257
Ge 0.0000 1.7129 3.4257
Ge 0.0000 5.1386 3.4257
Ge 1.7129 3.4257 0.0000
Ge 3.4257 0.0000 1.7129
Ge 3.4257 0.0000 5.1386
Ge 5.1386 3.4257 0.0000
Pd 0.0000 3.4257 1.7129
Pd 0.0000 3.4257 5.1386
Pd 1.7129 0.0000 3.4257
Pd 3.4257 1.7129 0.0000
Pd 3.4257 5.1386 0.0000
Pd 5.1386 0.0000 3.4257
```

Going by the energies, model a is most stable and the next is 33 meV per atom up.

Model a:
# Ac2GePd2

Crystalline Ac2GePd2 at its relaxed geometry (PBE, the Alexandria database).

Structure (extended XYZ):
```
10
Lattice="5.7971 -2.2039 0.0000 5.7971 2.2039 0.0000 -5.3333 0.0000 10.4812" Properties=species:S:1:pos:R:3 pbc="T T T"
Ac -1.0668 0.0000 4.1384
Ac -1.0294 0.0000 9.0344
Ac 7.2904 0.0000 1.4468
Ac 7.3277 0.0000 6.3428
Ge 3.9236 0.0000 1.8721
Ge 2.3373 0.0000 8.6091
Pd -4.3540 0.0000 9.5086
Pd 2.2684 0.0000 3.9987
Pd 3.9926 0.0000 6.4826
Pd 10.6150 0.0000 0.9726
```

Model b:
# Ac2GePd2

Crystalline Ac2GePd2 at its relaxed geometry (PBE, the Alexandria database).

Structure (extended XYZ):
```
5
Lattice="-2.3424 2.9748 4.4863 2.3424 -2.9748 4.4863 2.3424 2.9748 -4.4863" Properties=species:S:1:pos:R:3 pbc="T T T"
Ac 0.0000 0.0000 1.8190
Ac 0.0000 0.0000 7.1537
Ge 0.0000 2.9748 0.0000
Pd 2.3424 1.4075 0.0000
Pd 0.0000 1.5673 4.4863
```

Going by the energies, model a is most stable and the next is 17 meV per atom up.